An optimized crystal structure of Ba2ScTc, computed with PBE.

Cell lengths 5.4826, 5.4826, 5.4826 Å; angles 120.22, 120.22, 89.62 degrees
Fractional coordinates of all 4 atoms:
Ba  0.0000  0.0000  0.0000
Ba  0.2500  0.7500  0.5000
Sc  0.5000  0.5000  0.0000
Tc  0.7500  0.2500  0.5000

## Properties
The calculation puts the energy above the lowest structure with this stoichiometry at 0.445 eV per atom. For the calculated formation energy, the calculation gives 3.2 eV/f.u. The space-group type is I-4m2, No. 119.

=====

An optimized crystal structure of K2AgHg6Au, computed with PBE.

Cell lengths 7.7883, 7.8155, 8.3873 Å; angles 57.54, 57.75, 89.81 degrees
Fractional coordinates of all 10 atoms:
K  0.7487  0.2515  0.4998
K  0.2513  0.7485  0.5002
Ag  0.0000  0.0000  0.0000
Hg  0.2494  0.2494  0.5010
Hg  0.7515  0.7517  0.9982
Hg  0.2495  0.7507  0.0000
Hg  0.7505  0.2493  0.0000
Hg  0.2485  0.2483  0.0018
Hg  0.7506  0.7506  0.4990
Au  0.5000  0.5000  0.0000

## Properties
For the calculated formation energy, the calculation gives -1.2 eV/f.u. The space-group type is P-1, No. 2.

=====

Among the records above, which one has the lowest calculated formation energy? K2AgHg6Au